A plane-wave DFT calculation with PBE was carried out for a geometry-optimized Ac2ErAl12Pt3 structure.

Properties
- DFT formation energy (meV/atom) = -304
- size of the total moment (μB/cell) = 0.00
- density of states at the Fermi level (states/eV per atom) = 0.4644

Geometry as POSCAR:
```
Ac2ErAl12Pt3
1.0
-6.984 -7.393 3.589
-1.889 -6.921 8.052
-6.829 -2.263 8.034
Al Ac Pt Er
12 2 3 1
direct
0.594 0.190 0.594
0.062 0.062 0.639
0.406 0.810 0.406
0.361 0.938 0.938
0.810 0.406 0.406
0.406 0.406 0.810
0.062 0.639 0.062
0.938 0.361 0.938
0.938 0.938 0.361
0.639 0.062 0.062
0.594 0.594 0.190
0.190 0.594 0.594
0.356 0.356 0.356
0.644 0.644 0.644
0.500 0.000 0.000
0.000 0.000 0.500
0.000 0.500 0.000
0.000 0.000 0.000
```

---

A plane-wave DFT calculation with PBE was carried out for a geometry-optimized Ac3HRh2 structure.

Properties
- size of the total moment (μB/cell) = 0.00
- density of states at the Fermi level (states/eV per atom) = 0.3790

Geometry as POSCAR:
```
Ac3HRh2
1.0
5.942 0.000 0.000
0.000 8.565 -0.003
-2.971 -2.146 6.357
Ac Rh H
6 4 2
direct
0.830 0.416 0.661
0.498 0.250 0.000
0.170 0.584 0.339
0.830 0.916 0.661
0.502 0.750 0.000
0.170 0.084 0.339
0.340 0.920 0.681
0.660 0.080 0.319
0.660 0.580 0.319
0.340 0.420 0.681
0.004 0.250 0.000
0.996 0.750 0.000
```

---

A plane-wave DFT calculation with PBE was carried out for a geometry-optimized ThTa2C3 structure.

Properties
- DFT formation energy (meV/atom) = -229
- size of the total moment (μB/cell) = 0.00
- density of states at the Fermi level (states/eV per atom) = 0.3987

Geometry as POSCAR:
```
ThTa2C3
1.0
6.211 0.000 0.000
0.000 5.435 -0.881
0.000 -1.955 5.148
C Ta Th
6 4 2
direct
0.750 0.500 0.021
0.250 0.979 0.500
0.750 0.021 0.500
0.250 0.021 0.021
0.750 0.979 0.979
0.250 0.500 0.979
0.000 0.833 0.167
0.500 0.833 0.167
0.500 0.167 0.833
0.000 0.167 0.833
0.750 0.500 0.500
0.250 0.500 0.500
```

---

A plane-wave DFT calculation with PBE was carried out for a geometry-optimized SmNF5 structure.

Properties
- size of the total moment (μB/cell) = 4.15
- density of states at the Fermi level (states/eV per atom) = 0.1548
- formation energy without anion corrections (meV/atom) = -1622

Geometry as POSCAR:
```
SmNF5
1.0
-3.354 1.852 -0.945
-2.938 -6.716 0.161
0.782 3.267 6.518
N F Sm
2 10 2
direct
0.000 0.000 0.000
0.500 0.000 0.000
0.777 0.540 0.968
0.750 0.119 0.881
0.297 0.585 0.716
0.277 0.968 0.540
0.250 0.881 0.119
0.223 0.460 0.032
0.203 0.284 0.415
0.797 0.716 0.585
0.723 0.032 0.460
0.703 0.415 0.284
0.750 0.382 0.618
0.250 0.618 0.382
```

---

A plane-wave DFT calculation with PBE was carried out for a geometry-optimized AcHo6Er12 structure.

Properties
- DFT formation energy (meV/atom) = 422
- size of the total moment (μB/cell) = 0.00
- density of states at the Fermi level (states/eV per atom) = 1.2092

Geometry as POSCAR:
```
AcHo6Er12
1.0
8.921 -1.065 -1.920
-2.141 8.725 -1.920
-0.943 -1.065 9.076
Er Ho Ac
12 6 1
direct
0.379 0.379 0.156
0.621 0.621 0.844
0.500 0.889 0.111
0.889 0.500 0.111
0.889 0.111 0.500
0.111 0.889 0.500
0.500 0.111 0.889
0.111 0.500 0.889
0.844 0.621 0.621
0.379 0.156 0.379
0.156 0.379 0.379
0.621 0.844 0.621
0.732 0.303 0.303
0.303 0.732 0.303
0.697 0.268 0.697
0.268 0.697 0.697
0.303 0.303 0.732
0.697 0.697 0.268
0.000 0.000 0.000
```

---

A plane-wave DFT calculation with PBE was carried out for a geometry-optimized Pm3Zn2BRh3 structure.

Properties
- DFT formation energy (meV/atom) = -455
- size of the total moment (μB/cell) = 0.00
- density of states at the Fermi level (states/eV per atom) = 0.6731

Geometry as POSCAR:
```
Pm3Zn2BRh3
1.0
3.525 0.000 0.000
0.000 7.445 0.000
0.000 -3.722 6.447
Rh Pm Zn B
3 3 2 1
direct
0.500 0.000 0.785
0.500 0.785 0.000
0.500 0.215 0.215
0.000 0.629 0.629
0.000 0.371 0.000
0.000 0.000 0.371
0.500 0.667 0.333
0.500 0.333 0.667
0.000 0.000 0.000
```

---

For reference, raw total energy by record: -4.52; -5.66; -10.03; -4.82; -4.12; -5.51 eV per atom.